Record 1
Below is a relaxed MgTlPb5 crystal, with properties calculated at the PBE level.

```
7
Lattice="4.995 0.000 0.000 0.000 4.995 0.000 0.000 0.000 8.728" Properties=species:S:1:pos:R:3 pbc="T T T"
Mg 0.000 0.000 4.364
Tl 0.000 0.000 0.000
Pb 2.497 2.497 0.000
Pb 2.497 0.000 2.499
Pb 0.000 2.497 2.499
Pb 2.497 0.000 6.229
Pb 0.000 2.497 6.229
```

Results
Theoretical density: 9.64 g cm⁻³
Symmetry: P4/mmm (123)
Total energy: -3.18 eV/atom
E_form: 0.21 eV per formula unit

=====

Record 2
Below is a relaxed MgTl12Pb6 crystal, with properties calculated at the PBE level.

```
19
Lattice="8.419 0.534 -0.459 -0.513 8.420 -0.459 0.471 0.534 8.418" Properties=species:S:1:pos:R:3 pbc="T T T"
Mg 0.000 0.000 0.000
Tl 4.223 2.168 4.546
Tl 1.534 5.214 3.697
Tl 4.698 4.459 1.117
Tl 4.154 7.320 2.954
Tl 6.843 4.274 3.803
Tl 3.679 5.028 6.382
Tl 6.978 8.816 4.465
Tl 3.071 1.472 0.155
Tl 0.273 3.229 1.057
Tl 1.400 0.671 3.035
Tl 5.306 8.015 7.345
Tl 8.104 6.258 6.443
Pb 1.143 2.665 6.076
Pb 6.496 3.039 7.033
Pb 2.062 8.023 5.682
Pb 7.234 6.822 1.423
Pb 1.881 6.448 0.466
Pb 6.315 1.464 1.818
```

Results
Theoretical density: 10.25 g cm⁻³
Symmetry: R-3 (148)
Total energy: -2.73 eV/atom
E_form: 0.29 eV per formula unit

=====

Record 3
Below is a relaxed MgTlPb4 crystal, with properties calculated at the PBE level.

```
6
Lattice="-5.499 0.196 3.536 -3.931 5.216 -0.354 -5.812 -0.480 -2.962" Properties=species:S:1:pos:R:3 pbc="T T T"
Mg 0.000 0.000 0.000
Tl -11.432 3.699 0.165
Pb -8.467 1.947 1.854
Pb -8.624 1.608 -1.401
Pb -7.682 4.461 -0.095
Pb -5.712 1.848 0.083
```

Results
Theoretical density: 8.87 g cm⁻³
Symmetry: F-43m (216)
Offset from the most stable computed form: 0.1579 eV per atom
Total energy: -2.99 eV/atom
E_form: 0.87 eV per formula unit

=====

Record 4
Below is a relaxed MgTl5Pb6 crystal, with properties calculated at the PBE level.

```
12
Lattice="6.012 0.936 -1.128 -1.907 7.479 -0.051 0.561 0.903 7.645" Properties=species:S:1:pos:R:3 pbc="T T T"
Pb 1.564 1.194 2.847
Pb 3.917 5.953 6.159
Pb 4.229 2.739 0.985
Pb 0.438 6.578 5.481
Pb 0.749 3.364 0.307
Pb 3.103 8.124 3.619
Mg 0.000 0.000 0.000
Tl 3.160 2.455 5.811
Tl -0.255 3.076 5.101
Tl 2.333 4.659 3.233
Tl -1.091 5.305 2.492
Tl 1.506 6.862 0.654
```

Results
Theoretical density: 10.44 g cm⁻³
Symmetry: C2/m (12)
Total energy: -2.97 eV/atom
E_form: 0.02 eV per formula unit

=====

Record 5
Below is a relaxed Mg3TlPb4 crystal, with properties calculated at the PBE level.

```
8
Lattice="-0.540 -1.531 3.223 4.903 0.450 1.035 -2.056 11.084 4.920" Properties=species:S:1:pos:R:3 pbc="T T T"
Mg 1.267 6.612 3.353
Mg -0.876 4.723 2.097
Mg -2.161 9.427 6.136
Tl 2.037 0.241 2.476
Pb 1.450 3.403 3.880
Pb 0.756 9.365 4.575
Pb -0.357 1.924 0.854
Pb -1.614 6.478 4.827
```

Results
Theoretical density: 8.22 g cm⁻³
Symmetry: Pmm2 (25)
Offset from the most stable computed form: 0.0291 eV per atom
Total energy: -2.74 eV/atom
E_form: 0.04 eV per formula unit

=====

Record 6
Below is a relaxed Mg2Tl9Pb crystal, with properties calculated at the PBE level.

```
12
Lattice="-0.174 5.077 -1.092 -1.763 -1.085 -4.766 -12.160 0.526 4.377" Properties=species:S:1:pos:R:3 pbc="T T T"
Mg -4.070 0.176 1.465
Mg -8.091 0.350 2.912
Tl -0.968 1.996 -2.929
Tl -5.097 2.174 -1.443
Tl -9.000 2.343 -0.038
Tl -2.228 2.631 0.225
Tl -6.167 2.801 1.643
Tl -10.106 2.972 3.061
Tl -3.023 -0.450 -1.612
Tl -6.961 -0.280 -0.194
Tl -10.900 -0.110 1.223
Pb 0.000 0.000 0.000
```

Results
Theoretical density: 9.96 g cm⁻³
Symmetry: P4/mmm (123)
Total energy: -2.33 eV/atom
E_form: 0.26 eV per formula unit

=====

- Among the records above, which one has the lowest theoretical density?
  Mg3TlPb4

=====

- Which value of theoretical density does entry 4 give?
  10.44 g cm⁻³

=====

- The lowest theoretical density belongs to which entry?
  Mg3TlPb4

=====

- What is the theoretical density in the third record?
  8.87 g cm⁻³